PuCo5Ge3 (PBE-GGA, relaxed); volume = 260.8 Å³ per cell; total magnetization = 0.83 μB per atom; energy relative to the elements = -20.6 kJ per mole of atoms; density of states at the Fermi level = 40.64 states/eV per cell; symmetry = Cmcm (63)
1.0
3.811 0.000 0.000
-1.906 6.098 0.000
0.000 0.000 11.221
Pu Co Ge
2 10 6
Cartesian
1.906 3.857 8.415 Pu
0.000 2.242 2.805 Pu
1.906 3.777 4.930 Co
0.000 2.322 10.540 Co
0.000 0.000 5.610 Co
0.000 0.000 0.000 Co
0.000 5.470 1.588 Co
1.906 0.629 9.633 Co
1.906 0.629 7.198 Co
1.906 3.777 0.681 Co
0.000 2.322 6.291 Co
0.000 5.470 4.022 Co
0.000 4.598 10.626 Ge
1.906 4.815 2.805 Ge
0.000 4.598 6.205 Ge
1.906 1.500 5.016 Ge
0.000 1.283 8.415 Ge
1.906 1.500 0.595 Ge